The following is a PBE calculation of a relaxed TbPmCd17 crystal, from the Alexandria database.

Cell lengths 7.6669, 7.6669, 7.6669 Å; angles 82.07, 82.07, 82.07 degrees
Atoms (fractional coordinates):
Tb: 0.0000 0.0000 0.0000
Pm: 0.3435 0.3435 0.3435
Cd: 0.0199 0.0199 0.5492
Cd: 0.0199 0.5492 0.0199
Cd: 0.1992 0.6532 0.6532
Cd: 0.2985 0.2985 0.8825
Cd: 0.2985 0.8825 0.2985
Cd: 0.3699 0.6767 0.9767
Cd: 0.3699 0.9767 0.6767
Cd: 0.5492 0.0199 0.0199
Cd: 0.5823 0.5823 0.5823
Cd: 0.6532 0.1992 0.6532
Cd: 0.6532 0.6532 0.1992
Cd: 0.6767 0.3699 0.9767
Cd: 0.6767 0.9767 0.3699
Cd: 0.7781 0.7781 0.7781
Cd: 0.8825 0.2985 0.2985
Cd: 0.9767 0.3699 0.6767
Cd: 0.9767 0.6767 0.3699

Values from the calculation:
E_form: -0.1295 eV/atom
Density: 8381 kg/m³



The following is a PBE calculation of a relaxed Na2MgC crystal, from the Alexandria database.

Cell lengths 4.6466, 4.6466, 4.6466 Å; angles 60.00, 60.00, 60.00 degrees
Atoms (fractional coordinates):
Na: 0.2500 0.2500 0.2500
Na: 0.7500 0.7500 0.7500
Mg: 0.0000 0.0000 0.0000
C: 0.5000 0.5000 0.5000

Values from the calculation:
E_form: 1.2074 eV/atom
Density: 1926 kg/m³



The following is a PBE calculation of a relaxed Y2PaH crystal, from the Alexandria database.

Cell lengths 9.4889, 9.4889, 9.4889 Å; angles 20.11, 20.11, 20.11 degrees
Atoms (fractional coordinates):
Y: 0.1159 0.1159 0.1159
Y: 0.8841 0.8841 0.8841
Pa: 0.0000 0.0000 0.0000
H: 0.5000 0.5000 0.5000

Values from the calculation:
Total energy: -6.335 eV/atom
Density: 7704 kg/m³



The following is a PBE calculation of a relaxed Os2PdAu crystal, from the Alexandria database.

Cell lengths 4.4369, 4.4369, 4.4369 Å; angles 60.00, 60.00, 60.00 degrees
Atoms (fractional coordinates):
Os: 0.2500 0.2500 0.2500
Os: 0.7500 0.7500 0.7500
Pd: 0.0000 0.0000 0.0000
Au: 0.5000 0.5000 0.5000

Values from the calculation:
E_form: 0.8428 eV/atom
Density: 18386 kg/m³



Q: The highest density belongs to which entry?
A: Os2PdAu



Q: density of number 2 (Na2MgC)?
A: 1926 kg/m³



Q: Which value of density does entry 4 give?
A: 18386 kg/m³